No. 1
Crystalline NaPr2AgSe4 at its relaxed geometry. Source: Alexandria, functional PBE-GGA.

Properties
**Mass density**: 5.58 g/cm3
**DOS at the Fermi energy**: 0.0 states/eV/f.u.
**E_form (uncorrected)**: -1.41 eV per atom
**V**: 27.11 A^3/atom

Lattice parameters (Å, degrees): 4.3170 7.4865 7.1978 111.22 90.00 90.00
Fractional coordinates of all 8 atoms:
Se  0.0000  0.7491  0.2560
Se  0.5000  0.7549  0.7510
Se  0.0000  0.2509  0.7440
Se  0.5000  0.2451  0.2490
Pr  0.0000  0.5000  0.5000
Pr  0.5000  0.0000  0.5000
Na  0.5000  0.5000  0.0000
Ag  0.0000  0.0000  0.0000

***

No. 2
Crystalline NaPrAgSn at its relaxed geometry. Source: Alexandria, functional PBE-GGA.

Properties
**Mass density**: 6.16 g/cm3
**DOS at the Fermi energy**: 2.0 states/eV/f.u.
**Energy of formation**: -0.3442 eV per atom
**V**: 26.30 A^3/atom

Lattice parameters (Å, degrees): 5.2987 5.2987 5.2987 60.00 60.00 60.00
Fractional coordinates of all 4 atoms:
Sn  0.2500  0.2500  0.2500
Na  0.5000  0.5000  0.5000
Pr  0.0000  0.0000  0.0000
Ag  0.7500  0.7500  0.7500

***

What did the first record say?
Crystalline NaPr2AgSe4 at its relaxed geometry. Source: Alexandria, functional PBE-GGA.

Properties
**Mass density**: 5.58 g/cm3
**DOS at the Fermi energy**: 0.0 states/eV/f.u.
**E_form (uncorrected)**: -1.41 eV per atom
**V**: 27.11 A^3/atom

Lattice parameters (Å, degrees): 4.3170 7.4865 7.1978 111.22 90.00 90.00
Fractional coordinates of all 8 atoms:
Se  0.0000  0.7491  0.2560
Se  0.5000  0.7549  0.7510
Se  0.0000  0.2509  0.7440
Se  0.5000  0.2451  0.2490
Pr  0.0000  0.5000  0.5000
Pr  0.5000  0.0000  0.5000
Na  0.5000  0.5000  0.0000
Ag  0.0000  0.0000  0.0000